Entry 1:
Material: Ta3InS
Method: DFT, PBE
State: relaxed

The structure belongs to space group Pm-3m (No. 221); the cell edges are 4.5935, 4.5935 and 4.5935 Å and the angles 90.00°, 90.00° and 90.00°. Symmetry generates all atoms from Ta at (0.0000, 0.0000, 0.5000), In at (0.5000, 0.5000, 0.5000) and S at (0.0000, 0.0000, 0.0000).

Its total energy is -8.185 eV per atom. The density of states at the Fermi level is 1.017 states/eV per atom. The density comes out at 11817 kg/m³.


Entry 2:
Material: MgB3P
Method: DFT, PBE
State: relaxed

The structure belongs to space group Pm-3m (No. 221); the cell edges are 4.3065, 4.3065 and 4.3065 Å and the angles 90.00°, 90.00° and 90.00°. Symmetry generates all atoms from Mg at (0.0000, 0.0000, 0.0000), B at (0.0000, 0.0000, 0.5000) and P at (0.5000, 0.5000, 0.5000).

Its total energy is -2.879 eV per atom. The density of states at the Fermi level is 0.509 states/eV per atom. The density comes out at 1824 kg/m³.


Entry 3:
Material: Tl2ICl
Method: DFT, PBE
State: relaxed

The structure belongs to space group Fm-3m (No. 225); the cell edges are 8.1894, 8.1894 and 8.1894 Å and the angles 90.00°, 90.00° and 90.00°. Symmetry generates all atoms from Tl at (0.2500, 0.2500, 0.2500), I at (0.0000, 0.0000, 0.0000) and Cl at (0.0000, 0.0000, 0.5000).

Its total energy is -2.799 eV per atom. The density of states at the Fermi level is 0.000 states/eV per atom. The density comes out at 6907 kg/m³.


Entry 4:
Material: RuSeBr2
Method: DFT, PBE
State: relaxed

The structure belongs to space group P4/mmm (No. 123); the cell edges are 3.1077, 3.1077 and 10.0228 Å and the angles 90.00°, 90.00° and 90.00°. Symmetry generates all atoms from Ru at (0.0000, 0.0000, 0.0000), Se at (0.0000, 0.0000, 0.5000) and Br at (0.5000, 0.5000, 0.1638).

Its total energy is -3.401 eV per atom. The density of states at the Fermi level is 1.130 states/eV per atom. The density comes out at 5830 kg/m³.


Entry 5:
Material: LiCd2Sb
Method: DFT, PBE
State: relaxed

The structure belongs to space group Cmmm (No. 65); the cell edges are 5.8228, 9.2437 and 3.4296 Å and the angles 90.00°, 90.00° and 90.00°. Symmetry generates all atoms from Li at (0.0000, 0.0000, 0.0000), Cd at (0.2500, 0.2500, 0.5000) and Sb at (0.0000, 0.5000, 0.0000).

Its total energy is -2.057 eV per atom. The density of states at the Fermi level is 0.377 states/eV per atom. The density comes out at 6360 kg/m³.


Entry 6:
Material: HRhS2I
Method: DFT, PBE
State: relaxed

The structure belongs to space group P4/mmm (No. 123); the cell edges are 3.7327, 3.7327 and 7.5104 Å and the angles 90.00°, 90.00° and 90.00°. Symmetry generates all atoms from H at (0.0000, 0.0000, 0.0000), Rh at (0.5000, 0.5000, 0.5000), S at (0.0000, 0.5000, 0.0000) and I at (0.0000, 0.0000, 0.5000).

Its total energy is -3.305 eV per atom. The density of states at the Fermi level is 0.848 states/eV per atom. The density comes out at 4680 kg/m³.


Among the records above, which one has the lowest density?
MgB3P


Please write out number 3 again, unchanged.
Material: Tl2ICl
Method: DFT, PBE
State: relaxed

The structure belongs to space group Fm-3m (No. 225); the cell edges are 8.1894, 8.1894 and 8.1894 Å and the angles 90.00°, 90.00° and 90.00°. Symmetry generates all atoms from Tl at (0.2500, 0.2500, 0.2500), I at (0.0000, 0.0000, 0.0000) and Cl at (0.0000, 0.0000, 0.5000).

Its total energy is -2.799 eV per atom. The density of states at the Fermi level is 0.000 states/eV per atom. The density comes out at 6907 kg/m³.


What is the formula in the second record?
MgB3P